# 1
Compound: FeSb
Source: the Alexandria database
Functional: PBE
Structure: relaxed

abc: 7.116 7.116 7.116
angles: 154.45 147.20 42.03
Each line ends with the local moment (μB).
Sites, in units of the cell vectors:
Fe 0.699 0.449 0.750  2.28
Sb 0.127 0.877 0.750  -0.06
Sb 0.873 0.123 0.250  -0.06
Fe 0.301 0.551 0.250  2.28

Summary:
**Raw total energy**: -6.08 eV per atom

# 2
Compound: Nd2ThTe4
Source: the Alexandria database
Functional: PBE
Structure: relaxed

abc: 4.353 7.671 15.248
angles: 90.00 90.00 106.48
Sites, in units of the cell vectors:
Te 0.219 0.439 0.627
Th 0.374 0.748 0.250
Th 0.626 0.252 0.750
Te 0.500 0.000 0.500
Nd 0.864 0.727 0.933
Nd 0.136 0.273 0.067
Nd 0.864 0.727 0.567
Te 0.969 0.937 0.750
Te 0.219 0.439 0.873
Te 0.031 0.063 0.250
Te 0.781 0.561 0.373
Te 0.781 0.561 0.127
Te 0.500 0.000 0.000
Nd 0.136 0.273 0.433

Summary:
**Energy above the lowest structure with this stoichiometry**: 70 meV/atom

# 3
Compound: SnHg3Pb3
Source: the Alexandria database
Functional: PBE
Structure: relaxed

abc: 3.338 13.042 13.042
angles: 120.00 90.00 90.00
Sites, in units of the cell vectors:
Sn 0.750 0.667 0.333
Hg 0.250 0.389 0.917
Hg 0.750 0.611 0.083
Pb 0.250 0.632 0.883
Pb 0.750 0.749 0.632
Pb 0.750 0.368 0.117
Hg 0.250 0.528 0.611
Pb 0.250 0.117 0.749
Hg 0.750 0.917 0.528
Hg 0.250 0.083 0.472
Pb 0.250 0.251 0.368
Hg 0.750 0.472 0.389
Pb 0.750 0.883 0.251
Sn 0.250 0.333 0.667

Summary:
**DFT formation energy**: 0.17 eV per atom
**Energy above the lowest structure with this stoichiometry**: 127 meV/atom

# 4
Compound: Eu2YZr
Source: the Alexandria database
Functional: PBE
Structure: relaxed

abc: 3.432 3.432 12.617
angles: 82.18 82.18 60.00
Each line ends with the local moment (μB).
Sites, in units of the cell vectors:
Eu 0.916 0.916 0.251  7.06
Y 0.500 0.500 0.500  0.08
Zr 0.000 0.000 0.000  0.25
Eu 0.084 0.084 0.749  7.06

Summary:
**DFT formation energy**: 0.42 eV per atom

# 5
Compound: LaTbPm2Ho4
Source: the Alexandria database
Functional: PBE
Structure: relaxed

abc: 10.227 10.037 12.354
angles: 144.30 114.38 90.03
Sites, in units of the cell vectors:
Ho 0.249 0.249 0.997
Ho 0.751 0.751 0.003
Tb 0.000 0.500 0.000
Ho 0.249 0.752 0.500
Pm 0.000 0.000 0.500
La 0.500 0.500 0.500
Pm 0.500 0.499 0.000
Ho 0.751 0.248 0.500
Tb 0.000 0.500 0.500
Ho 0.249 0.745 0.997
Ho 0.249 0.248 0.500
La 0.000 0.999 0.999
Ho 0.751 0.255 0.003
Ho 0.751 0.752 0.500
Pm 0.500 0.000 0.500
Pm 0.500 0.001 0.001

Summary:
**DFT formation energy**: 0.02 eV per atom

# 6
Compound: SrHg6
Source: the Alexandria database
Functional: PBE
Structure: relaxed

abc: 7.021 7.021 7.021
angles: 90.00 90.00 90.00
Sites, in units of the cell vectors:
Hg 0.500 0.500 0.806
Hg 0.194 0.500 0.500
Hg 0.806 0.500 0.500
Hg 0.500 0.194 0.500
Hg 0.500 0.806 0.500
Sr 0.000 0.000 0.000
Hg 0.500 0.500 0.194

Summary:
**DFT formation energy**: 0.26 eV per atom
**Energy above the lowest structure with this stoichiometry**: 500 meV/atom

# 7
Compound: K2RuBr2F4
Source: the Alexandria database
Functional: PBE
Structure: relaxed

abc: 6.498 6.498 6.498
angles: 94.86 117.23 117.23
Each line ends with the local moment (μB).
Sites, in units of the cell vectors:
F 0.000 0.796 0.204  0.07
F 0.409 0.204 0.204  0.07
K 0.500 0.750 0.250  0.00
K 0.500 0.250 0.750  0.00
Br 0.000 0.716 0.716  0.03
F 0.000 0.204 0.796  0.07
Ru 0.000 0.000 0.000  1.52
F 0.591 0.796 0.796  0.07
Br 0.000 0.284 0.284  0.03

Summary:
**Raw total energy**: -4.30 eV per atom

# 8
Compound: TbCd2Ag8
Source: the Alexandria database
Functional: PBE
Structure: relaxed

abc: 5.147 7.794 8.247
angles: 61.80 72.26 49.85
Sites, in units of the cell vectors:
Ag 0.500 0.204 0.592
Ag 0.771 0.094 0.267
Ag 0.748 0.503 0.000
Tb 0.500 0.000 0.000
Ag 0.252 0.497 0.000
Ag 0.500 0.796 0.408
Cd 0.000 0.681 0.639
Ag 0.229 0.639 0.267
Ag 0.229 0.906 0.733
Cd 0.000 0.319 0.361
Ag 0.771 0.361 0.733

Summary:
**DFT formation energy**: -0.03 eV per atom
**Energy above the lowest structure with this stoichiometry**: 66 meV/atom

# 9
Compound: BaZn2F6
Source: the Alexandria database
Functional: PBE
Structure: relaxed

abc: 4.222 5.608 7.800
angles: 116.07 90.00 112.11
Sites, in units of the cell vectors:
F 0.713 0.427 0.077
F 0.669 0.338 0.640
F 0.287 0.573 0.923
Ba 0.000 0.000 0.500
F 0.331 0.662 0.360
Zn 0.828 0.656 0.915
Zn 0.172 0.344 0.085
F 0.983 0.966 0.825
F 0.017 0.034 0.175

Summary:
**Energy above the lowest structure with this stoichiometry**: 25 meV/atom

# 10
Compound: PmHg2Pb5
Source: the Alexandria database
Functional: PBE
Structure: relaxed

abc: 4.786 7.071 13.808
angles: 90.00 90.00 90.00
Sites, in units of the cell vectors:
Pb 0.000 0.063 0.242
Pb 0.000 0.563 0.258
Pm 0.000 0.000 0.500
Pm 0.000 0.500 0.000
Hg 0.500 0.715 0.879
Pb 0.500 0.276 0.374
Pb 0.500 0.224 0.874
Pb 0.500 0.776 0.126
Hg 0.500 0.215 0.621
Pb 0.000 0.000 0.000
Pb 0.000 0.500 0.500
Pb 0.000 0.937 0.758
Hg 0.500 0.285 0.121
Pb 0.000 0.437 0.742
Hg 0.500 0.785 0.379
Pb 0.500 0.724 0.626

Summary:
**DFT formation energy**: -0.14 eV per atom

# 11
Compound: MgAl2Au
Source: the Alexandria database
Functional: PBE
Structure: relaxed

abc: 4.426 3.340 5.260
angles: 76.22 90.00 90.00
Sites, in units of the cell vectors:
Al 0.000 0.158 0.009
Mg 0.500 0.750 0.750
Al 0.000 0.342 0.491
Au 0.500 0.250 0.250

Summary:
**DFT formation energy**: -0.20 eV per atom

# 12
Compound: Li2PaMnTe4
Source: the Alexandria database
Functional: PBE
Structure: relaxed

abc: 4.198 7.312 7.431
angles: 108.59 90.00 90.00
Each line ends with the local moment (μB).
Sites, in units of the cell vectors:
Mn 0.000 0.000 0.000  4.17
Te 0.500 0.768 0.761  0.01
Te 0.000 0.238 0.740  -0.01
Pa 0.500 0.500 0.000  1.04
Li 0.000 0.500 0.500  0.01
Te 0.500 0.232 0.239  0.01
Li 0.500 0.000 0.500  0.00
Te 0.000 0.762 0.260  -0.01

Summary:
**Raw total energy**: -5.08 eV per atom

The calculation returns the following DOS(E_F) values, one per record and in order: 0.779; 0.615; 0.566; 1.543; 1.289; 0.594; 0.614; 0.373; 0.000; 0.370; 0.241; 0.523 states/eV per atom.